Material: LuScAgHg
Method: DFT, PBE
State: optimized geometry

Output
* formation energy: -36 kJ/mol of atoms

a = 5.0114 Å, b = 5.0114 Å, c = 5.0114 Å
α = 60.00°, β = 60.00°, γ = 60.00°
Closest atoms and distances in Å follow each position.
Fractional positions:
Sc 0.5000 0.5000 0.5000  4 Hg 3.07, 4 Ag 3.07
Lu 0.0000 0.0000 0.0000  4 Hg 3.07, 4 Ag 3.07
Hg 0.7500 0.7500 0.7500  4 Sc 3.07, 4 Lu 3.07
Ag 0.2500 0.2500 0.2500  4 Sc 3.07, 4 Lu 3.07

=====

Material: LiTc2Br
Method: DFT, PBE
State: optimized geometry

Output
* distance to the lowest polymorph of the same formula: 615 meV per atom
* ΔE_f (raw): 0.6507 eV/atom

a = 5.3617 Å, b = 5.3617 Å, c = 5.3617 Å
α = 145.56°, β = 125.88°, γ = 65.74°
Closest atoms and distances in Å follow each position.
Fractional positions:
Br 0.4794 0.4794 0.0000  6 Tc 2.69-2.97, 2 Li 2.82
Li 0.7378 0.2378 0.5000  2 Br 2.82, 6 Tc 2.91-3.00
Tc 0.0439 0.0439 0.0000  2 Tc 2.37
Tc 0.2389 0.7389 0.5000  2 Tc 2.37

=====

Material: DyNi3Ge3
Method: DFT, PBE
State: optimized geometry

Output
* formation energy: -12 kJ/mol of atoms
* distance to the lowest polymorph of the same formula: 259 meV per atom

a = 6.3953 Å, b = 6.3953 Å, c = 6.3953 Å
α = 90.00°, β = 90.00°, γ = 90.00°
Closest atoms and distances in Å follow each position.
Fractional positions:
Ni 0.2500 0.0000 0.5000  4 Ge 2.26
Ni 0.0000 0.5000 0.2500  4 Ge 2.26
Ni 0.5000 0.7500 0.0000  4 Ge 2.26
Ni 0.7500 0.0000 0.5000  4 Ge 2.26
Ni 0.0000 0.5000 0.7500  4 Ge 2.26
Ni 0.5000 0.2500 0.0000  4 Ge 2.26
Ge 0.0000 0.2500 0.5000  4 Ni 2.26
Ge 0.0000 0.7500 0.5000  4 Ni 2.26
Ge 0.5000 0.0000 0.7500  4 Ni 2.26
Ge 0.7500 0.5000 0.0000  4 Ni 2.26
Ge 0.5000 0.0000 0.2500  4 Ni 2.26
Ge 0.2500 0.5000 0.0000  4 Ni 2.26
Dy 0.5000 0.5000 0.5000  12 Ni 3.58, 12 Ge 3.58
Dy 0.0000 0.0000 0.0000  12 Ge 3.58, 12 Ni 3.58

=====

| no. | calculated volume (Å³/cell) | size of the total moment (μB per atom) | DOS(E_F) (states/eV per atom) |
| --- | --- | --- | --- |
| 1 | 89.0 | 0.0006 | 0.935 |
| 2 | 69.7 | 0.0000 | 0.962 |
| 3 | 261.6 | 0.0000 | 0.754 |